[1]
Entry from the Open Quantum Materials Database: an optimized crystal structure of Mg2ZrScZn2Pt2 (PBE).

```
Mg2ZrScZn2Pt2
1.0
4.5357 0.0000 0.0000
0.0000 4.5357 0.0000
0.0000 0.0000 6.4819
Mg Zr Sc Zn Pt
2 1 1 2 2
direct
0.0000 0.5000 0.2442 Mg
0.5000 0.0000 0.7558 Mg
0.5000 0.5000 0.5000 Zr
0.0000 0.0000 0.0000 Sc
0.0000 0.5000 0.7523 Zn
0.5000 0.0000 0.2477 Zn
0.0000 0.0000 0.5000 Pt
0.5000 0.5000 0.0000 Pt
```

Computed properties:
space-group type = P-4m2 (115)
VASP energy = -0.16923 Ha/atom

***

[2]
Entry from the Open Quantum Materials Database: an optimized crystal structure of Sr2MgPtSe6 (PBE).

```
Sr2MgPtSe6
1.0
6.4494 0.0000 0.0000
2.0381 6.1282 0.0000
2.1272 1.5474 6.1823
Sr Mg Pt Se
2 1 1 6
direct
0.2434 0.2570 0.2496 Sr
0.7566 0.7430 0.7504 Sr
0.5000 0.5000 0.5000 Mg
0.0000 0.0000 0.0000 Pt
0.1459 0.7754 0.3358 Se
0.2363 0.6532 0.8468 Se
0.3467 0.1529 0.7789 Se
0.6533 0.8471 0.2211 Se
0.7637 0.3468 0.1532 Se
0.8541 0.2246 0.6642 Se
```

Computed properties:
space-group type = P-1 (2)
VASP energy = -0.15297 Ha/atom

***

[3]
Entry from the Open Quantum Materials Database: an optimized crystal structure of Sr2MgPtSe6 (PBE).

```
Sr2MgPtSe6
1.0
-3.3231 3.3231 5.7840
3.3231 -3.3231 5.7840
3.3231 3.3231 -5.7840
Sr Mg Pt Se
2 1 1 6
direct
0.2500 0.7500 0.5000 Sr
0.7500 0.2500 0.5000 Sr
0.0000 0.0000 0.0000 Mg
0.5000 0.5000 0.0000 Pt
0.1452 0.6344 0.7796 Se
0.2711 0.2711 0.0000 Se
0.3656 0.1452 0.5109 Se
0.6344 0.8548 0.4891 Se
0.7289 0.7289 0.0000 Se
0.8548 0.3656 0.2204 Se
```

Computed properties:
space-group type = I4/m (87)
VASP energy = -0.15341 Ha/atom

***

[4]
Entry from the Open Quantum Materials Database: an optimized crystal structure of Sr2MgPtSe6 (PBE).

```
Sr2MgPtSe6
1.0
6.4063 -3.0488 0.0000
6.4063 3.0488 0.0000
-4.9419 0.0000 6.3888
Sr Mg Pt Se
2 1 1 6
direct
0.2396 0.2396 0.2594 Sr
0.7604 0.7604 0.7406 Sr
0.0000 0.0000 0.5000 Mg
0.5000 0.5000 0.0000 Pt
0.1868 0.6768 0.1739 Se
0.2579 0.2579 0.6626 Se
0.3232 0.8132 0.8261 Se
0.6768 0.1868 0.1739 Se
0.7421 0.7421 0.3374 Se
0.8132 0.3232 0.8261 Se
```

Computed properties:
space-group type = C2/m (12)
VASP energy = -0.15266 Ha/atom

***

[5]
Entry from the Open Quantum Materials Database: an optimized crystal structure of Mg2Si2Pt3 (PBE).

```
Mg2Si2Pt3
1.0
2.1600 1.2471 6.9555
-2.1600 1.2471 6.9555
0.0000 -2.4942 6.9555
Mg Si Pt
2 2 3
direct
0.0000 0.0000 0.0000 Mg
0.4832 0.4832 0.4832 Mg
0.2376 0.2376 0.2376 Si
0.7419 0.7419 0.7419 Si
0.3616 0.3616 0.3616 Pt
0.6125 0.6125 0.6125 Pt
0.8644 0.8644 0.8644 Pt
```

Computed properties:
space-group type = R3m (160)
VASP energy = -0.19241 Ha/atom

***

[6]
Entry from the Open Quantum Materials Database: an optimized crystal structure of SrMg4SiPt2 (PBE).

```
SrMg4SiPt2
1.0
7.1264 0.0000 0.0000
0.0000 2.2837 5.4038
0.0000 -2.2837 5.4038
Sr Mg Si Pt
1 4 1 2
direct
0.0000 0.0000 0.0000 Sr
0.2446 0.7199 0.7199 Mg
0.3097 0.3982 0.3982 Mg
0.6903 0.3982 0.3982 Mg
0.7554 0.7199 0.7199 Mg
0.5000 0.1416 0.1416 Si
0.0000 0.2776 0.2776 Pt
0.5000 0.9272 0.9272 Pt
```

Computed properties:
space-group type = Amm2 (38)
VASP energy = -0.13255 Ha/atom

***

[7]
Entry from the Open Quantum Materials Database: an optimized crystal structure of TbMgSi2Pt4 (PBE).

```
TbMgSi2Pt4
1.0
7.0665 0.0000 0.0000
0.0000 1.8707 5.0872
0.0000 -1.8707 5.0872
Tb Mg Si Pt
1 1 2 4
direct
0.0000 0.0000 0.0000 Tb
0.5000 0.0930 0.0930 Mg
0.0000 0.2819 0.2819 Si
0.5000 0.8179 0.8179 Si
0.2052 0.6933 0.6933 Pt
0.3024 0.4105 0.4105 Pt
0.6976 0.4105 0.4105 Pt
0.7948 0.6933 0.6933 Pt
```

Computed properties:
space-group type = Amm2 (38)
VASP energy = -0.22398 Ha/atom

***

[8]
Entry from the Open Quantum Materials Database: an optimized crystal structure of SmMgPt (PBE).

```
SmMgPt
1.0
4.6779 0.0000 0.0000
-2.3390 4.0512 0.0000
0.0000 0.0000 6.9307
Sm Mg Pt
2 2 2
direct
0.0000 0.0000 0.0000 Sm
0.0000 0.0000 0.5000 Sm
0.3333 0.6667 0.2555 Mg
0.6667 0.3333 0.7555 Mg
0.3333 0.6667 0.7337 Pt
0.6667 0.3333 0.2337 Pt
```

Computed properties:
space-group type = P6_3mc (186)
VASP energy = -0.17895 Ha/atom

***

Which of these has the lowest VASP energy? TbMgSi2Pt4

***

The lowest VASP energy belongs to which entry? TbMgSi2Pt4

***

Number 8 is which compound? SmMgPt